<P>
TbSm4Th | GGA-PBE | optimized geometry

Cell: 11.4224 5.1237 7.1947 Å, 90.00 108.47 90.00°
Space group C2/m (No. 12)
Symmetry-distinct sites (fractional):
Tb  0.0000  0.0000  0.0000 [2 per cell]
Sm  0.1627  0.5000  0.8267 [4 per cell]
Sm  0.1653  0.5000  0.3373 [4 per cell]
Th  0.0000  0.0000  0.5000 [2 per cell]

## Properties
Size of the total moment (μB per cell): 0.0
N(E_F) (states/eV per cell): 17.652

=====

<Q>
TbSm4Th | GGA-PBE | optimized geometry

Cell: 11.6685 11.9218 3.4437 Å, 90.00 90.00 90.00°
Space group Cmmm (No. 65)
Symmetry-distinct sites (fractional):
Tb  0.0000  0.0000  0.0000 [2 per cell]
Sm  0.0000  0.2332  0.5000 [4 per cell]
Sm  0.2370  0.5000  0.0000 [4 per cell]
Th  0.0000  0.5000  0.5000 [2 per cell]

## Properties
Size of the total moment (μB per cell): 0.0
N(E_F) (states/eV per cell): 20.907

=====

Of them, the most stable is <P> and the least stable is <Q>.

=====

<P>
Tb3Sm3Th2 | GGA-PBE | optimized geometry

Cell: 6.2095 6.2125 8.0364 Å, 105.06 104.95 109.25°
Space group P-1 (No. 2)
Symmetry-distinct sites (fractional):
Tb  0.0000  0.0000  0.0000 [1 per cell]
Tb  0.1281  0.6282  0.2563 [2 per cell]
Sm  0.3701  0.8702  0.7406 [2 per cell]
Sm  0.5000  0.5000  0.0000 [1 per cell]
Th  0.2490  0.2489  0.4980 [2 per cell]

## Properties
Size of the total moment (μB per cell): 0.0
N(E_F) (states/eV per cell): 11.514

=====

<Q>
Tb3Sm3Th2 | GGA-PBE | optimized geometry

Cell: 5.0662 5.0689 20.4491 Å, 90.00 90.00 90.00°
Space group Immm (No. 71)
Symmetry-distinct sites (fractional):
Tb  0.0000  0.0000  0.0000 [2 per cell]
Tb  0.0000  0.5000  0.1280 [4 per cell]
Sm  0.0000  0.0000  0.5000 [2 per cell]
Sm  0.0000  0.5000  0.3718 [4 per cell]
Th  0.0000  0.0000  0.2502 [4 per cell]

## Properties
Size of the total moment (μB per cell): 0.0
N(E_F) (states/eV per cell): 17.896

=====

Of them, the most stable is <Q> and the least stable is <P>.